! Pm5DyHo8 (GGA-PBE, optimized geometry); values from VASP
&SYSTEM
  ibrav = 0, nat = 14, ntyp = 3
/
ATOMIC_SPECIES
Pm 145.00 Pm.upf
Dy 162.50 Dy.upf
Ho 164.93 Ho.upf
CELL_PARAMETERS angstrom
8.446 -0.078 0.134
-2.931 7.922 -0.134
-2.583 -4.044 6.952
ATOMIC_POSITIONS angstrom
Pm -1.031 2.017 0.897
Pm 4.192 6.272 1.310
Pm 3.039 2.432 4.939
Pm 2.931 -2.061 3.543
Pm -0.336 -3.122 6.759
Dy -1.292 0.908 5.181
Ho -0.960 5.518 0.457
Ho 5.830 -2.039 4.705
Ho 4.564 0.606 2.391
Ho 2.081 -0.632 6.431
Ho 1.957 3.653 1.858
Ho 0.002 3.799 5.755
Ho 0.991 0.322 2.988
Ho -2.739 3.971 3.224
! calculated total energy	-4.3986	eV per atom
! DOS(E_F)	19.357	states/eV/f.u.
! energy of formation from the pure elements	23.4	kJ/mol of atoms
! total magnetization	0.00	μB per cell

! Pm10DyHo6 (GGA-PBE, optimized geometry); values from VASP
&SYSTEM
  ibrav = 0, nat = 17, ntyp = 3
/
ATOMIC_SPECIES
Pm 145.00 Pm.upf
Dy 162.50 Dy.upf
Ho 164.93 Ho.upf
CELL_PARAMETERS angstrom
6.878 0.000 0.000
0.000 8.475 -4.893
0.000 0.000 9.786
ATOMIC_POSITIONS angstrom
Pm 5.609 6.146 3.548
Pm 5.609 0.000 2.690
Pm 5.609 2.329 -1.345
Pm 1.269 2.329 1.345
Pm 1.269 0.000 7.097
Pm 1.269 6.146 -3.548
Pm 3.439 2.825 4.893
Pm 3.439 5.650 0.000
Pm 0.000 5.650 0.000
Pm 0.000 2.825 4.893
Dy 3.439 0.000 0.000
Ho 4.762 3.149 1.818
Ho 4.762 0.000 6.150
Ho 4.762 5.326 -3.075
Ho 2.116 5.326 3.075
Ho 2.116 0.000 3.636
Ho 2.116 3.149 -1.818
! calculated total energy	-4.5540	eV per atom
! DOS(E_F)	24.315	states/eV/f.u.
! energy of formation from the pure elements	12.2	kJ/mol of atoms
! total magnetization	0.00	μB per cell

! Pm4DyHo7 (GGA-PBE, optimized geometry); values from VASP
&SYSTEM
  ibrav = 0, nat = 12, ntyp = 3
/
ATOMIC_SPECIES
Pm 145.00 Pm.upf
Dy 162.50 Dy.upf
Ho 164.93 Ho.upf
CELL_PARAMETERS angstrom
6.019 -1.320 2.917
1.166 5.940 2.472
2.690 -1.942 11.329
ATOMIC_POSITIONS angstrom
Pm 4.674 2.549 6.332
Pm 5.201 0.129 10.385
Pm 6.998 2.716 11.934
Pm 2.877 -0.038 4.783
Dy 0.000 0.000 0.000
Ho 7.983 0.139 14.367
Ho 1.891 2.539 2.350
Ho 2.441 0.568 8.222
Ho 7.433 2.110 8.496
Ho 4.276 3.261 9.794
Ho 3.009 -0.660 1.458
Ho 5.599 -0.583 6.923
! calculated total energy	-4.5497	eV per atom
! DOS(E_F)	19.089	states/eV/f.u.
! energy of formation from the pure elements	8.5	kJ/mol of atoms
! total magnetization	0.00	μB per cell
! relative energy among the computed polymorphs	0	meV/atom

! Pm5Dy4Ho (GGA-PBE, optimized geometry); values from VASP
&SYSTEM
  ibrav = 0, nat = 10, ntyp = 3
/
ATOMIC_SPECIES
Pm 145.00 Pm.upf
Dy 162.50 Dy.upf
Ho 164.93 Ho.upf
CELL_PARAMETERS angstrom
-3.457 0.963 -0.050
-0.467 -2.205 -10.203
-0.710 -9.182 1.019
ATOMIC_POSITIONS angstrom
Pm -3.524 -6.246 -5.489
Pm -3.581 -6.251 -1.666
Pm -1.053 -4.172 -7.569
Pm -1.962 -0.621 -5.127
Pm -1.110 -4.178 -3.746
Dy -1.975 -7.537 -8.681
Dy -4.303 -9.115 -6.900
Dy -2.660 -2.886 -0.553
Dy -0.331 -1.308 -2.334
Ho -1.729 0.482 -0.025
! calculated total energy	-4.5258	eV per atom
! DOS(E_F)	14.862	states/eV/f.u.
! energy of formation from the pure elements	14.3	kJ/mol of atoms
! total magnetization	0.00	μB per cell

Question: Which value of total magnetization does entry 1 give?
Answer: 0.00 μB per cell